(1)
Density functional theory data (GGA-PBE) for MoPBr2 after structural relaxation.

## Properties
The total moment is 0.377 μB/atom. The energy above the most stable polymorph in this dataset comes out at 1.081 eV/atom. The total energy comes out at -4.0124 eV/atom. As for the uncorrected formation energy: 884 meV per atom. As for the space group: No. 119. Its crystal system is tetragonal.

Cell and atoms, written as POSCAR:
```
MoPBr2
1.0
-0.632 -1.548 -4.363
-1.794 -3.639 2.316
-1.987 4.122 0.945
P Mo Br
1 1 2
direct
0.750 0.250 0.500
0.500 0.500 0.000
0.000 0.000 0.000
0.250 0.750 0.500
```



(2)
Density functional theory data (GGA-PBE) for MoPBr4 after structural relaxation.

## Properties
The total moment is 0.366 μB/atom. The total energy comes out at -2.3880 eV/atom. As for the uncorrected formation energy: 1434 meV per atom. As for the space group: No. 216. Its crystal system is cubic.

Cell and atoms, written as POSCAR:
```
MoPBr4
1.0
-2.557 -4.204 3.715
-2.649 1.758 5.282
-6.130 -0.254 0.608
P Mo Br
1 1 4
direct
0.000 0.000 0.000
0.750 0.750 0.750
0.375 0.375 0.375
0.874 0.375 0.375
0.375 0.874 0.375
0.375 0.375 0.874
```



(3)
Density functional theory data (GGA-PBE) for MoPBr2 after structural relaxation.

## Properties
The total moment is 0.289 μB/atom. The energy above the most stable polymorph in this dataset comes out at 0.955 eV/atom. The total energy comes out at -4.1381 eV/atom. As for the uncorrected formation energy: 759 meV per atom. As for the space group: No. 65. Its crystal system is orthorhombic.

Cell and atoms, written as POSCAR:
```
MoPBr2
1.0
3.294 0.001 0.000
-1.834 2.737 0.000
0.000 0.000 9.510
P Mo Br
1 1 2
direct
0.500 0.500 0.750
0.500 0.500 0.250
0.000 0.000 0.467
0.000 0.000 0.033
```



(4)
Density functional theory data (GGA-PBE) for MoPBr2 after structural relaxation.

## Properties
The total moment is 0.045 μB/atom. The energy above the most stable polymorph in this dataset comes out at 0.738 eV/atom. The total energy comes out at -4.3555 eV/atom. As for the uncorrected formation energy: 541 meV per atom. As for the space group: No. 166. Its crystal system is trigonal.

Cell and atoms, written as POSCAR:
```
MoPBr2
1.0
-8.602 -3.167 -4.147
-6.524 -4.503 -6.196
-7.283 -6.013 -3.468
P Br Mo
1 2 1
direct
0.750 0.750 0.750
0.979 0.979 0.979
0.521 0.521 0.521
0.250 0.250 0.250
```



(5)
Density functional theory data (GGA-PBE) for MoPBr2 after structural relaxation.

## Properties
The total moment is 0.000 μB/atom. The energy above the most stable polymorph in this dataset comes out at 0.210 eV/atom. The total energy comes out at -4.8835 eV/atom. As for the uncorrected formation energy: 13 meV per atom. As for the space group: No. 160. Its crystal system is trigonal.

Cell and atoms, written as POSCAR:
```
MoPBr2
1.0
-2.744 8.772 -0.521
-5.597 7.296 0.441
-3.298 8.151 2.727
P Br Mo
1 2 1
direct
0.767 0.767 0.767
0.224 0.224 0.224
0.022 0.022 0.022
0.487 0.487 0.487
```



(6)
Density functional theory data (GGA-PBE) for MoPBr2 after structural relaxation.

## Properties
The total moment is 0.256 μB/atom. The energy above the most stable polymorph in this dataset comes out at 0.164 eV/atom. The total energy comes out at -4.9297 eV/atom. As for the uncorrected formation energy: -33 meV per atom. As for the space group: No. 65. Its crystal system is orthorhombic.

Cell and atoms, written as POSCAR:
```
MoPBr2
1.0
-1.393 -2.779 -2.284
6.911 -2.653 -0.988
5.064 -4.768 2.713
Br P Mo
2 1 1
direct
0.000 0.377 0.377
0.000 0.123 0.123
0.500 0.750 0.750
0.500 0.250 0.250
```



(7)
Density functional theory data (GGA-PBE) for Mo3PBr after structural relaxation.

## Properties
The total moment is 0.000 μB/atom. The energy above the most stable polymorph in this dataset comes out at 0.000 eV/atom. The total energy comes out at -6.9185 eV/atom. As for the uncorrected formation energy: 997 meV per atom. As for the space group: No. 221. Its crystal system is cubic.

Cell and atoms, written as POSCAR:
```
Mo3PBr
1.0
4.545 0.000 0.000
0.000 4.545 0.000
0.000 0.000 4.545
Mo Br P
3 1 1
direct
0.000 0.500 0.000
0.000 0.000 0.500
0.500 0.000 0.000
0.500 0.500 0.500
0.000 0.000 0.000
```



(8)
Density functional theory data (GGA-PBE) for MoPBr2 after structural relaxation.

## Properties
The total moment is 0.128 μB/atom. The energy above the most stable polymorph in this dataset comes out at 0.729 eV/atom. The total energy comes out at -4.3640 eV/atom. As for the uncorrected formation energy: 533 meV per atom. As for the space group: No. 166. Its crystal system is trigonal.

Cell and atoms, written as POSCAR:
```
MoPBr2
1.0
-6.564 3.571 8.256
-3.881 3.221 9.928
-4.420 5.920 8.332
P Br Mo
1 2 1
direct
0.000 0.000 0.000
0.890 0.890 0.890
0.110 0.110 0.110
0.500 0.500 0.500
```



Look up the total moment of the second one.
0.366 μB/atom